(1)
This record from OQMD describes a relaxed structure of Tl2AgBrCl3. The functional is PBE.

Values from the calculation:
ρ in g cm⁻³: 5.0
Energy in eV per atom: -2.812

The structure in CIF format:
```
data_Tl2AgBrCl3
_chemical_formula_sum 'Tl4 Ag2 Br2 Cl6'
_cell_length_a 4.233
_cell_length_b 10.617
_cell_length_c 10.289
_cell_angle_alpha 90.00
_cell_angle_beta 90.00
_cell_angle_gamma 90.00
_symmetry_space_group_name_H-M 'A m m 2'
_symmetry_Int_Tables_number 38
loop_
_symmetry_equiv_pos_as_xyz
'x,y,z'
'-x,-y,z'
'-x,y,z'
'x,-y,z'
'x,y+1/2,z+1/2'
'-x,-y+1/2,z+1/2'
'-x,y+1/2,z+1/2'
'x,-y+1/2,z+1/2'
loop_
_atom_site_label
_atom_site_type_symbol
_atom_site_fract_x
_atom_site_fract_y
_atom_site_fract_z
Tl1 Tl 0.000 0.241 0.000
Ag1 Ag 0.500 0.000 0.251
Br1 Br 0.500 0.000 0.503
Cl1 Cl 0.500 0.000 0.010
Cl2 Cl 0.500 0.232 0.251
```

(2)
This record from OQMD describes a relaxed structure of Tl2CoAgBr6. The functional is PBE.

Values from the calculation:
ρ in g cm⁻³: 5.8
Energy in eV per atom: -2.965

The structure in CIF format:
```
data_Tl2CoAgBr6
_chemical_formula_sum 'Tl12 Co6 Ag6 Br36'
_cell_length_a 7.3152
_cell_length_b 7.3152
_cell_length_c 39.1832
_cell_angle_alpha 90.00
_cell_angle_beta 90.00
_cell_angle_gamma 120.00
_symmetry_space_group_name_H-M 'R -3 m'
_symmetry_Int_Tables_number 166
_symmetry_space_group_name_Hall '-R 3 2"'
loop_
_atom_site_label
_atom_site_type_symbol
_atom_site_fract_x
_atom_site_fract_y
_atom_site_fract_z
Tl1 Tl 0.0000 0.0000 0.1077
Tl2 Tl 0.0000 0.0000 0.2922
Co1 Co 0.0000 0.0000 0.4130
Ag1 Ag 0.0000 0.0000 0.0000
Ag2 Ag 0.0000 0.0000 0.5000
Br1 Br 0.0187 0.5094 0.1144
Br2 Br 0.0188 0.5094 0.2908
```

(3)
This record from OQMD describes a relaxed structure of CsAg2Br3. The functional is PBE.

Values from the calculation:
ρ in g cm⁻³: 4.5
Energy in eV per atom: -2.767

The structure in CIF format:
```
data_CsAg2Br3
_chemical_formula_sum 'Cs4 Ag8 Br12'
_cell_length_a 10.496
_cell_length_b 13.925
_cell_length_c 5.893
_cell_angle_alpha 90.00
_cell_angle_beta 90.00
_cell_angle_gamma 90.00
_symmetry_space_group_name_H-M 'C m c m'
_symmetry_Int_Tables_number 63
_symmetry_space_group_name_Hall '-C 2c 2'
loop_
_atom_site_label
_atom_site_type_symbol
_atom_site_fract_x
_atom_site_fract_y
_atom_site_fract_z
Cs1 Cs 0.000 0.215 0.250
Ag1 Ag 0.185 0.500 0.000
Br1 Br 0.000 0.392 0.750
Br2 Br 0.201 0.135 0.750
```

(4)
This record from OQMD describes a relaxed structure of Cs2DyAgBr6. The functional is PBE.

Values from the calculation:
ρ in g cm⁻³: 4.6
Energy in eV per atom: -3.492

The structure in CIF format:
```
data_Cs2DyAgBr6
_chemical_formula_sum 'Cs4 Dy2 Ag2 Br12'
_cell_length_a 8.007
_cell_length_b 8.007
_cell_length_c 11.361
_cell_angle_alpha 90.00
_cell_angle_beta 90.00
_cell_angle_gamma 90.00
_symmetry_space_group_name_H-M 'I 4/m m m'
_symmetry_Int_Tables_number 139
_symmetry_space_group_name_Hall '-I 4 2'
loop_
_atom_site_label
_atom_site_type_symbol
_atom_site_fract_x
_atom_site_fract_y
_atom_site_fract_z
Cs1 Cs 0.000 0.500 0.250
Dy1 Dy 0.000 0.000 0.000
Ag1 Ag 0.000 0.000 0.500
Br1 Br 0.000 0.000 0.246
Br2 Br 0.247 0.247 0.000
```

(5)
This record from OQMD describes a relaxed structure of CsAgI2Br. The functional is PBE.

Values from the calculation:
ρ in g cm⁻³: 4.8
Energy in eV per atom: -2.472

The structure in CIF format:
```
data_CsAgI2Br
_chemical_formula_sum 'Cs4 Ag4 I8 Br4'
_cell_length_a 8.245
_cell_length_b 8.245
_cell_length_c 11.786
_cell_angle_alpha 90.00
_cell_angle_beta 90.00
_cell_angle_gamma 90.00
_symmetry_space_group_name_H-M 'I 4/m m m'
_symmetry_Int_Tables_number 139
_symmetry_space_group_name_Hall '-I 4 2'
loop_
_atom_site_label
_atom_site_type_symbol
_atom_site_fract_x
_atom_site_fract_y
_atom_site_fract_z
Cs1 Cs 0.000 0.500 0.250
Ag1 Ag 0.000 0.000 0.000
Ag2 Ag 0.000 0.000 0.500
I1 I 0.236 0.236 0.000
Br1 Br 0.000 0.000 0.283
```

(6)
This record from OQMD describes a relaxed structure of Cs2AgOsBr6. The functional is PBE.

Values from the calculation:
ρ in g cm⁻³: 5.4
Energy in eV per atom: -3.333

The structure in CIF format:
```
data_Cs2AgOsBr6
_chemical_formula_sum 'Cs8 Ag4 Os4 Br24'
_cell_length_a 10.840
_cell_length_b 10.840
_cell_length_c 10.840
_cell_angle_alpha 90.00
_cell_angle_beta 90.00
_cell_angle_gamma 90.00
_symmetry_space_group_name_H-M 'F m -3 m'
_symmetry_Int_Tables_number 225
_symmetry_space_group_name_Hall '-F 4 2 3'
loop_
_atom_site_label
_atom_site_type_symbol
_atom_site_fract_x
_atom_site_fract_y
_atom_site_fract_z
Cs1 Cs 0.250 0.250 0.250
Ag1 Ag 0.000 0.000 0.000
Os1 Os 0.000 0.000 0.500
Br1 Br 0.000 0.000 0.265
```